Below is a crystal of Sc4AgSe relaxed with PBEsol, with properties calculated at the meta-GGA SCAN level.

Properties
raw formation energy	1.637	eV per formula unit
calculated volume	128.9	Å³ per cell

Cell: 5.6698 5.6698 5.6698 Å, 60.00 60.00 60.00°
Last column: nearest neighbours and their distance in Å.
Fractional positions:
Sc  0.1248  0.1248  0.1248  6 Sc 2.83-2.84
Sc  0.1248  0.1248  0.6257  6 Sc 2.83-2.84
Sc  0.1248  0.6257  0.1248  6 Sc 2.83-2.84
Sc  0.6257  0.1248  0.1248  6 Sc 2.83-2.84
Ag  0.7500  0.7500  0.7500  12 Sc 3.32, 4 Se 3.47
Se  0.5000  0.5000  0.5000  12 Sc 3.32, 4 Ag 3.47